{
  "formula": "Ca2TlCl",
  "functional": "PBE",
  "state": "optimized geometry",
  "lattice": [[4.338, 0.000, 0.000], [0.000, 4.338, 0.000], [0.000, 0.000, 6.481]],
  "species": ["Ca", "Ca", "Tl", "Cl"],
  "fractional_positions": [[0.000, 0.000, 0.000], [0.500, 0.500, 0.449], [0.500, 0.500, 0.934], [0.000, 0.000, 0.440]],
  "e_tot_ev_per_atom": -3.006,
  "n_ef_per_ev_fu": 0.90,
  "e_above_lowest_polymorph_mev_per_atom": 103,
  "e_form_raw_ev_per_fu": -3.81,
  "spacegroup": "P4mm, No. 99",
  "magnetic_moment_mub_per_cell": 0.0
}

{
  "formula": "EuZrAg2",
  "functional": "PBE",
  "state": "optimized geometry",
  "lattice": [[5.276, 0.000, 0.000], [0.000, 5.276, 0.000], [0.000, 0.000, 3.331]],
  "species": ["Eu", "Zr", "Ag", "Ag"],
  "fractional_positions": [[0.000, 0.000, 0.000], [0.500, 0.500, 0.000], [0.000, 0.500, 0.500], [0.500, 0.000, 0.500]],
  "e_tot_ev_per_atom": -6.149,
  "n_ef_per_ev_fu": 5.68,
  "e_above_lowest_polymorph_mev_per_atom": 62,
  "spacegroup": "P4/mmm, No. 123",
  "formation_energy_ev_per_atom": -0.017,
  "magnetic_moment_mub_per_cell": 7.5
}

{
  "formula": "YH3Rh",
  "functional": "PBE",
  "state": "optimized geometry",
  "lattice": [[0.000, 4.709, 4.709], [4.709, 0.000, 4.709], [4.709, 4.709, 0.000]],
  "species": ["Y", "Y", "Y", "Y", "H", "H", "H", "H", "H", "H", "H", "H", "H", "H", "H", "H", "Rh", "Rh", "Rh", "Rh"],
  "fractional_positions": [[0.000, 0.000, 0.000], [0.000, 0.000, 0.500], [0.000, 0.500, 0.000], [0.500, 0.000, 0.000], [0.176, 0.176, 0.574], [0.176, 0.574, 0.176], [0.176, 0.574, 0.574], [0.426, 0.426, 0.824], [0.426, 0.824, 0.426], [0.426, 0.824, 0.824], [0.574, 0.176, 0.176], [0.574, 0.176, 0.574], [0.574, 0.574, 0.176], [0.824, 0.426, 0.426], [0.824, 0.426, 0.824], [0.824, 0.824, 0.426], [0.000, 0.500, 0.500], [0.500, 0.000, 0.500], [0.500, 0.500, 0.000], [0.500, 0.500, 0.500]],
  "e_tot_ev_per_atom": -5.063,
  "n_ef_per_ev_fu": 4.08,
  "spacegroup": "Fd-3m, No. 227",
  "magnetic_moment_mub_per_cell": 0.0
}